# 1
# ScAsRhC2

A geometry-optimized ScAsRhC2 structure (GGA-PBEsol, Alexandria).

abc: 3.872 3.872 4.995
angles: 90.00 90.00 90.00
Element x y z (fractional)
Sc  0.000  0.000  0.500
C  0.000  0.500  0.000
Rh  0.500  0.500  0.500
As  0.000  0.000  0.000
C  0.500  0.000  0.000

SG	P4/mmm
density of states at the Fermi level	0.744	states/eV per atom
energy	-29.907	eV per cell
V	74.89	Å³/f.u.
E_form	1.846	eV per atom



# 2
# As2RuCSe

A geometry-optimized As2RuCSe structure (GGA-PBEsol, Alexandria).

abc: 4.122 4.122 4.286
angles: 90.00 90.00 90.00
Element x y z (fractional)
As  0.000  0.500  0.000
Ru  0.500  0.500  0.500
C  0.000  0.000  0.000
As  0.500  0.000  0.000
Se  0.000  0.000  0.500

SG	P4/mmm
density of states at the Fermi level	0.571	states/eV per atom
uncorrected formation energy	1.131	eV per atom
energy	-28.223	eV per cell
V	72.81	Å³/f.u.



# 3
# SiAsRuC2

A geometry-optimized SiAsRuC2 structure (GGA-PBEsol, Alexandria).

abc: 3.817 3.817 5.085
angles: 90.00 90.00 90.00
Element x y z (fractional)
C  0.000  0.500  0.000
Si  0.000  0.000  0.500
Ru  0.000  0.000  0.000
C  0.500  0.000  0.000
As  0.500  0.500  0.500

SG	P4/mmm
density of states at the Fermi level	0.780	states/eV per atom
uncorrected formation energy	1.399	eV per atom
energy	-33.317	eV per cell
V	74.09	Å³/f.u.



# 4
# Zr2AsRuC

A geometry-optimized Zr2AsRuC structure (GGA-PBEsol, Alexandria).

abc: 4.336 4.923 4.923
angles: 90.00 90.00 90.00
Element x y z (fractional)
C  0.500  0.500  0.500
Zr  0.000  0.000  0.500
Ru  0.500  0.000  0.000
Zr  0.000  0.500  0.000
As  0.000  0.000  0.000

SG	P4/mmm
density of states at the Fermi level	1.191	states/eV per atom
energy	-35.614	eV per cell
V	105.10	Å³/f.u.
E_form	1.498	eV per atom



# 5
# Si2AsC

A geometry-optimized Si2AsC structure (GGA-PBEsol, Alexandria).

abc: 5.197 5.662 5.197
angles: 117.32 90.00 117.32
Element x y z (fractional)
As  0.250  0.500  0.750
Si  0.125  0.750  0.546
Si  0.625  0.750  0.204
Si  0.796  0.250  0.875
As  0.000  0.000  0.000
C  0.750  0.500  0.250
Si  0.454  0.250  0.375
C  0.500  0.000  0.500

SG	I-42d
density of states at the Fermi level	0.291	states/eV per atom
uncorrected formation energy	0.195	eV per atom
energy	-50.926	eV per cell
V	58.16	Å³/f.u.



# 6
# SiAsC3

A geometry-optimized SiAsC3 structure (GGA-PBEsol, Alexandria).

abc: 3.787 3.787 3.787
angles: 90.00 90.00 90.00
Element x y z (fractional)
C  0.000  0.000  0.500
As  0.500  0.500  0.500
Si  0.000  0.000  0.000
C  0.500  0.000  0.000
C  0.000  0.500  0.000

SG	Pm-3m
density of states at the Fermi level	0.535	states/eV per atom
uncorrected formation energy	2.027	eV per atom
energy	-29.647	eV per cell
V	54.29	Å³/f.u.